Sc3NF10 PBE-GGA optimized geometry; total magnetization = 0.12 μB per cell; crystal system = orthorhombic; formation energy (no corrections) = -295 kJ per mole of atoms; space group = Pmma, No. 51
1.0
6.6814 0.0000 0.0000
0.0000 8.1394 0.0000
0.0000 0.0000 7.9742
Sc N F
6 2 20
direct
0.0000 0.0000 0.2500
0.0000 0.0000 0.7500
0.5000 0.7546 0.2500
0.5000 0.2454 0.7500
0.5000 0.2454 0.2500
0.5000 0.7546 0.7500
0.2182 0.5000 0.0000
0.7818 0.5000 0.5000
0.3664 0.5000 0.1520
0.6336 0.5000 0.6520
0.6336 0.5000 0.3480
0.3664 0.5000 0.8480
0.5000 0.0000 0.2500
0.5000 0.0000 0.7500
0.2050 0.1871 0.7777
0.7950 0.8129 0.2777
0.7950 0.1871 0.7223
0.2050 0.8129 0.2223
0.5576 0.2524 0.0000
0.4424 0.7476 0.5000
0.4424 0.2524 0.5000
0.5576 0.7476 0.0000
0.9514 0.0000 0.0000
0.0486 0.0000 0.5000
0.2050 0.1872 0.2222
0.7950 0.8128 0.7222
0.7950 0.1872 0.2778
0.2050 0.8128 0.7778